{
  "formula": "Rb2NaMoF8",
  "functional": "PBE with a Hubbard U",
  "state": "optimized geometry",
  "dft_energy_ev_per_cell": -55.97,
  "total_magnetization_mub_per_cell": 0.98,
  "spacegroup": "I-4m2 (119)",
  "lattice_angstrom": [[-2.3093, -4.4348, 3.4014], [3.4211, 1.7887, 4.6547], [-4.6225, 4.7291, -2.3481]],
  "species": ["F", "F", "F", "F", "F", "F", "F", "F", "Rb", "Rb", "Mo", "Na"],
  "frac_coords": [[0.9413, 0.8334, 0.2835], [0.3421, 0.8334, 0.2835], [0.5500, 0.6579, 0.7165], [0.1666, 0.0587, 0.7165], [0.9413, 0.4500, 0.2835], [0.3421, 0.4500, 0.2835], [0.5500, 0.0587, 0.7165], [0.1666, 0.6579, 0.7165], [0.0000, 0.0000, 0.0000], [0.7500, 0.2500, 0.5000], [0.2500, 0.7500, 0.5000], [0.5000, 0.5000, 0.0000]]
}